Computed, not measured: a crystal of CaTlSe2Br relaxed with PBEsol at the meta-GGA SCAN level of DFT.

Output
As for the energy relative to the elements, uncorrected: -588 meV per atom.

abc: 5.296 5.296 5.473
angles: 90.00 90.00 90.00
Sites, in units of the cell vectors:
Ca 0.500 0.500 0.500
Se 0.500 0.000 0.000
Se 0.000 0.500 0.000
Tl 0.000 0.000 0.000
Br 0.000 0.000 0.500